The following is a PBE-GGA calculation of a geometry-optimized CuTe6Ir2 structure, from Alexandria.

Output
As for the density of states at the Fermi level: 15.8 states/eV per cell. As for the energy: -4.685 eV/atom. Its space-group type is P-3m1 (164).

a b c (Å): 12.094 12.094 5.405
angles (deg): 90.00 90.00 120.00
Fractional positions:
Cu 0.000 0.000 0.000
Cu 0.333 0.667 0.478
Cu 0.667 0.333 0.522
Te 0.092 0.546 0.729
Te 0.114 0.228 0.748
Te 0.114 0.886 0.748
Te 0.212 0.425 0.269
Te 0.212 0.788 0.269
Te 0.228 0.114 0.252
Te 0.425 0.212 0.731
Te 0.454 0.546 0.729
Te 0.454 0.908 0.729
Te 0.546 0.092 0.271
Te 0.546 0.454 0.271
Te 0.575 0.788 0.269
Te 0.772 0.886 0.748
Te 0.788 0.212 0.731
Te 0.788 0.575 0.731
Te 0.886 0.114 0.252
Te 0.886 0.772 0.252
Te 0.908 0.454 0.271
Ir 0.000 0.334 0.000
Ir 0.000 0.666 0.000
Ir 0.334 0.000 0.000
Ir 0.334 0.334 0.000
Ir 0.666 0.000 0.000
Ir 0.666 0.666 0.000


The following is a PBE-GGA calculation of a geometry-optimized CuTe2Ir structure, from Alexandria.

Output
As for the density of states at the Fermi level: 1.7 states/eV per cell. As for the energy: -4.390 eV/atom. Its space-group type is Pmmm (47).

a b c (Å): 3.126 3.535 7.108
angles (deg): 90.00 90.00 90.00
Fractional positions:
Cu 0.000 0.000 0.000
Te 0.500 0.500 0.261
Te 0.500 0.500 0.739
Ir 0.000 0.000 0.500


The following is a PBE-GGA calculation of a geometry-optimized CuTe2Ir structure, from Alexandria.

Output
As for the density of states at the Fermi level: 5.9 states/eV per cell. As for the energy: -4.696 eV/atom. Its space-group type is I-42d (122).

a b c (Å): 7.102 7.102 7.102
angles (deg): 129.48 129.48 74.24
Fractional positions:
Cu 0.000 0.000 0.000
Cu 0.750 0.250 0.500
Te 0.127 0.625 0.002
Te 0.375 0.377 0.502
Te 0.623 0.125 0.998
Te 0.875 0.873 0.498
Ir 0.250 0.750 0.500
Ir 0.500 0.500 0.000


The following is a PBE-GGA calculation of a geometry-optimized Cu2TeIr structure, from Alexandria.

Output
As for the density of states at the Fermi level: 4.2 states/eV per cell. As for the energy: -4.755 eV/atom. Its space-group type is P4/mmm (123).

a b c (Å): 3.913 3.913 4.053
angles (deg): 90.00 90.00 90.00
Fractional positions:
Cu 0.000 0.500 0.000
Cu 0.500 0.000 0.000
Te 0.000 0.000 0.500
Ir 0.500 0.500 0.500


The following is a PBE-GGA calculation of a geometry-optimized Cu2TeIr structure, from Alexandria.

Output
As for the density of states at the Fermi level: 2.7 states/eV per cell. As for the energy: -4.673 eV/atom. Its space-group type is P2/m (10).

a b c (Å): 3.099 4.504 4.692
angles (deg): 90.00 91.02 90.00
Fractional positions:
Cu 0.192 0.000 0.278
Cu 0.808 0.000 0.722
Te 0.000 0.500 0.000
Ir 0.500 0.500 0.500


The following is a PBE-GGA calculation of a geometry-optimized CuTe4Ir structure, from Alexandria.

Output
As for the density of states at the Fermi level: 2.6 states/eV per cell. As for the energy: -4.398 eV/atom. Its space-group type is C2/m (12).

a b c (Å): 6.609 6.609 7.110
angles (deg): 121.24 121.24 35.47
Fractional positions:
Cu 0.000 0.000 0.000
Te 0.117 0.117 0.433
Te 0.357 0.357 0.057
Te 0.643 0.643 0.943
Te 0.883 0.883 0.567
Ir 0.500 0.500 0.500


The following is a PBE-GGA calculation of a geometry-optimized CuTe2Ir structure, from Alexandria.

Output
As for the density of states at the Fermi level: 3.0 states/eV per cell. As for the energy: -4.752 eV/atom. Its space-group type is C2/m (12).

a b c (Å): 3.949 3.949 6.693
angles (deg): 107.08 107.08 59.60
Fractional positions:
Cu 0.000 0.000 0.000
Te 0.245 0.245 0.732
Te 0.755 0.755 0.268
Ir 0.500 0.500 0.500


The following is a PBE-GGA calculation of a geometry-optimized CuTeIr4 structure, from Alexandria.

Output
As for the density of states at the Fermi level: 5.7 states/eV per cell. As for the energy: -6.530 eV/atom. Its space-group type is F-43m (216).

a b c (Å): 5.247 5.247 5.247
angles (deg): 60.00 60.00 60.00
Fractional positions:
Cu 0.000 0.000 0.000
Te 0.250 0.250 0.250
Ir 0.123 0.626 0.626
Ir 0.626 0.123 0.626
Ir 0.626 0.626 0.123
Ir 0.626 0.626 0.626


The following is a PBE-GGA calculation of a geometry-optimized CuTe2Ir structure, from Alexandria.

Output
As for the density of states at the Fermi level: 1.4 states/eV per cell. As for the energy: -4.442 eV/atom. Its space-group type is Fm-3m (225).

a b c (Å): 4.785 4.785 4.785
angles (deg): 60.00 60.00 60.00
Fractional positions:
Cu 0.000 0.000 0.000
Te 0.250 0.250 0.250
Te 0.750 0.750 0.750
Ir 0.500 0.500 0.500


The following is a PBE-GGA calculation of a geometry-optimized CuTe2Ir structure, from Alexandria.

Output
As for the density of states at the Fermi level: 1.4 states/eV per cell. As for the energy: -4.694 eV/atom. Its space-group type is Pmm2 (25).

a b c (Å): 3.400 3.510 7.365
angles (deg): 90.00 90.00 90.00
Fractional positions:
Cu 0.000 0.000 0.000
Te 0.000 0.000 0.361
Te 0.500 0.500 0.821
Ir 0.500 0.500 0.188


The following is a PBE-GGA calculation of a geometry-optimized CuTe4Ir structure, from Alexandria.

Output
As for the density of states at the Fermi level: 9.1 states/eV per cell. As for the energy: -2.935 eV/atom. Its space-group type is F-43m (216).

a b c (Å): 6.088 6.088 6.088
angles (deg): 60.00 60.00 60.00
Fractional positions:
Cu 0.000 0.000 0.000
Te 0.375 0.375 0.375
Te 0.375 0.375 0.874
Te 0.375 0.874 0.375
Te 0.874 0.375 0.375
Ir 0.750 0.750 0.750


The following is a PBE-GGA calculation of a geometry-optimized Cu2TeIr structure, from Alexandria.

Output
As for the density of states at the Fermi level: 2.7 states/eV per cell. As for the energy: -4.817 eV/atom. Its space-group type is I-4m2 (119).

a b c (Å): 4.796 4.796 4.796
angles (deg): 130.80 130.80 72.13
Fractional positions:
Cu 0.000 0.000 0.000
Cu 0.750 0.250 0.500
Te 0.500 0.500 0.000
Ir 0.250 0.750 0.500